Entry from Alexandria via LeMat-Bulk: a relaxed MgNiW crystal (GGA-PBE).

- E: -0.240 hartree per atom
- E_form: 70.6 kJ/mol of formula units
- Polymorph energy (0 for the lowest one): 0.158 eV per atom

```
MgNiW
1.0
4.340 0.007 -0.007
2.167 3.760 -0.003
2.180 -3.754 5.544
Ni Mg W
2 2 2
Direct
0.877 0.118 0.603 Ni
0.133 0.195 0.013 Ni
0.374 0.620 0.105 Mg
0.001 0.660 0.811 Mg
0.489 0.172 0.323 W
0.667 0.661 0.479 W
```

---

Entry from Alexandria via LeMat-Bulk: a relaxed GaTe2I8 crystal (GGA-PBE).

- E: -0.074 hartree per atom
- Uncorrected formation energy: -0.05 eV per atom

```
GaTe2I8
1.0
-2.087 -7.091 0.100
6.545 -2.522 5.493
-3.064 0.346 8.358
Ga Te I
1 2 8
Direct
0.000 0.000 0.000 Ga
0.279 0.228 0.228 Te
0.721 0.772 0.772 Te
0.808 0.100 0.666 I
0.192 0.334 0.900 I
0.716 0.120 0.120 I
0.284 0.880 0.880 I
0.808 0.666 0.100 I
0.192 0.900 0.334 I
0.328 0.422 0.422 I
0.672 0.578 0.578 I
```